Entry 1:
Below is crystalline ErU2Tc4 at its relaxed geometry, with properties calculated at the PBE level.

Computed properties:
total magnetic moment = 0.00 μB/f.u.
space group = C2/m, No. 12
final energy = -9.85 eV per atom
energy of formation = -54 meV/atom

Lattice parameters (Å, degrees): 6.6246 6.6246 3.0171 92.30 92.30 84.56
Sites, in units of the cell vectors:
Er 0.0000 0.0000 0.0000
U 0.3408 0.3408 0.7278
U 0.6592 0.6592 0.2722
Tc 0.0000 0.5000 0.0000
Tc 0.2825 0.7175 0.5000
Tc 0.5000 0.0000 0.0000
Tc 0.7175 0.2825 0.5000

Entry 2:
Below is crystalline Ce2Pu4Bi3O2 at its relaxed geometry, with properties calculated at the PBE level.

Computed properties:
total magnetic moment = 26.76 μB/f.u.
space group = I4/mmm, No. 139
final energy = -9.51 eV per atom
formation energy without anion corrections = -1.261 eV/atom

Lattice parameters (Å, degrees): 13.7151 13.7151 13.7151 160.11 160.11 28.27
Sites, in units of the cell vectors:
Ce 0.1943 0.1943 0.0000
Ce 0.8057 0.8057 0.0000
Pu 0.0851 0.5851 0.5000
Pu 0.4149 0.9149 0.5000
Pu 0.5851 0.0851 0.5000
Pu 0.9149 0.4149 0.5000
Bi 0.3215 0.3215 0.0000
Bi 0.5000 0.5000 0.0000
Bi 0.6785 0.6785 0.0000
O 0.1077 0.1077 0.0000
O 0.8923 0.8923 0.0000

Entry 3:
Below is crystalline Ca2CdBN at its relaxed geometry, with properties calculated at the PBE level.

Computed properties:
total magnetic moment = 0.00 μB/f.u.
space group = P4/mmm, No. 123
final energy = -4.10 eV per atom
formation energy without anion corrections = -0.120 eV/atom

Lattice parameters (Å, degrees): 5.5236 5.5236 2.9515 90.00 90.00 90.00
Sites, in units of the cell vectors:
Ca 0.0000 0.5000 0.0000
Ca 0.5000 0.0000 0.0000
Cd 0.0000 0.0000 0.5000
B 0.5000 0.5000 0.5000
N 0.5000 0.5000 0.0000

Entry 4:
Below is crystalline K2Ho2PuS6 at its relaxed geometry, with properties calculated at the PBE level.

Computed properties:
total magnetic moment = 4.00 μB/f.u.
space group = C2/m, No. 12
final energy = -6.34 eV per atom
formation energy without anion corrections = -1.751 eV/atom

Lattice parameters (Å, degrees): 6.9186 6.9186 7.8791 98.51 98.51 119.94
Sites, in units of the cell vectors:
K 0.1684 0.8316 0.0000
K 0.8316 0.1684 0.0000
Ho 0.3337 0.6663 0.5000
Ho 0.6663 0.3337 0.5000
Pu 0.0000 0.0000 0.5000
S 0.0633 0.3939 0.6945
S 0.2606 0.2606 0.3059
S 0.3939 0.0633 0.6945
S 0.6061 0.9367 0.3055
S 0.7394 0.7394 0.6941
S 0.9367 0.6061 0.3055

Entry 5:
Below is crystalline RbTiSb2I at its relaxed geometry, with properties calculated at the PBE level.

Computed properties:
total magnetic moment = 0.00 μB/f.u.
space group = P4/mmm, No. 123
final energy = -4.12 eV per atom
formation energy without anion corrections = -0.391 eV/atom
energy relative to the lowest polymorph listed for this composition = 0.00 eV/f.u.

Lattice parameters (Å, degrees): 5.2661 5.2661 6.4021 90.00 90.00 90.00
Sites, in units of the cell vectors:
Rb 0.0000 0.0000 0.0000
Ti 0.5000 0.5000 0.5000
Sb 0.0000 0.5000 0.5000
Sb 0.5000 0.0000 0.5000
I 0.5000 0.5000 0.0000

Entry 6:
Below is crystalline LiY2Ga3Pd4 at its relaxed geometry, with properties calculated at the PBE level.

Computed properties:
total magnetic moment = 0.00 μB/f.u.
space group = P-4m2, No. 115
final energy = -5.23 eV per atom
energy of formation = -761 meV/atom

Lattice parameters (Å, degrees): 3.9934 3.9934 11.6086 90.00 90.00 90.00
Sites, in units of the cell vectors:
Li 0.0000 0.0000 0.0000
Y 0.0000 0.5000 0.7500
Y 0.5000 0.0000 0.2500
Ga 0.0000 0.5000 0.3660
Ga 0.5000 0.0000 0.6340
Ga 0.5000 0.5000 0.0000
Pd 0.0000 0.0000 0.5000
Pd 0.0000 0.5000 0.1483
Pd 0.5000 0.0000 0.8517
Pd 0.5000 0.5000 0.5000

Entry 7:
Below is crystalline La2MoW at its relaxed geometry, with properties calculated at the PBE level.

Computed properties:
total magnetic moment = 0.00 μB/f.u.
space group = Pmmm, No. 47
final energy = -7.56 eV per atom
energy of formation = 853 meV/atom
energy relative to the lowest polymorph listed for this composition = 2.25 eV/f.u.

Lattice parameters (Å, degrees): 3.4248 5.0190 5.1120 90.00 90.00 90.00
Sites, in units of the cell vectors:
La 0.0000 0.0000 0.0000
La 0.5000 0.0000 0.5000
Mo 0.0000 0.5000 0.5000
W 0.5000 0.5000 0.0000

Entry 8:
Below is crystalline Pr4TlCdIn2 at its relaxed geometry, with properties calculated at the PBE level.

Computed properties:
total magnetic moment = 0.00 μB/f.u.
space group = R-3m, No. 166
final energy = -3.91 eV per atom
energy of formation = -428 meV/atom

Lattice parameters (Å, degrees): 9.5883 9.5883 9.5883 33.52 33.52 33.52
Sites, in units of the cell vectors:
Pr 0.1242 0.1242 0.1242
Pr 0.3743 0.3743 0.3743
Pr 0.6257 0.6257 0.6257
Pr 0.8758 0.8758 0.8758
Tl 0.5000 0.5000 0.5000
Cd 0.0000 0.0000 0.0000
In 0.2516 0.2516 0.2516
In 0.7484 0.7484 0.7484

Entry 9:
Below is crystalline LaCeIn4 at its relaxed geometry, with properties calculated at the PBE level.

Computed properties:
total magnetic moment = 0.75 μB/f.u.
space group = P6/mmm, No. 191
final energy = -4.06 eV per atom
energy of formation = -423 meV/atom
energy relative to the lowest polymorph listed for this composition = 0.00 eV/f.u.

Lattice parameters (Å, degrees): 5.0677 5.0677 7.4662 90.00 90.00 120.00
Sites, in units of the cell vectors:
La 0.0000 0.0000 0.0000
Ce 0.0000 0.0000 0.5000
In 0.3333 0.6667 0.2562
In 0.3333 0.6667 0.7438
In 0.6667 0.3333 0.2562
In 0.6667 0.3333 0.7438

Entry 10:
Below is crystalline BeFeTc2 at its relaxed geometry, with properties calculated at the PBE level.

Computed properties:
total magnetic moment = 0.00 μB/f.u.
space group = Pm, No. 6
final energy = -8.21 eV per atom
energy of formation = 24 meV/atom

Lattice parameters (Å, degrees): 2.6243 4.0524 4.6082 90.00 98.86 90.00
Sites, in units of the cell vectors:
Be 0.0000 0.0000 0.0000
Fe 0.0148 0.5000 0.2549
Tc 0.4294 0.5000 0.7981
Tc 0.6192 0.0000 0.4795

Entry 11:
Below is crystalline ReNi3Cl at its relaxed geometry, with properties calculated at the PBE level.

Computed properties:
total magnetic moment = 0.00 μB/f.u.
space group = Pm-3m, No. 221
final energy = -4.91 eV per atom
formation energy without anion corrections = 1.421 eV/atom
energy relative to the lowest polymorph listed for this composition = 1.37 eV/f.u.

Lattice parameters (Å, degrees): 4.5677 4.5677 4.5677 90.00 90.00 90.00
Sites, in units of the cell vectors:
Re 0.0000 0.0000 0.0000
Ni 0.0000 0.0000 0.5000
Ni 0.0000 0.5000 0.0000
Ni 0.5000 0.0000 0.0000
Cl 0.5000 0.5000 0.5000

Entry 12:
Below is crystalline Cs2CrBiSe4 at its relaxed geometry, with properties calculated at the PBE level.

Computed properties:
total magnetic moment = 3.00 μB/f.u.
space group = Fddd, No. 70
final energy = -4.29 eV per atom
formation energy without anion corrections = -0.644 eV/atom

Lattice parameters (Å, degrees): 14.9050 13.1020 8.5112 84.35 61.02 34.63
Sites, in units of the cell vectors:
Cs 0.0546 0.0546 0.6954
Cs 0.3046 0.3046 0.9454
Cs 0.6954 0.6954 0.0546
Cs 0.9454 0.9454 0.3046
Cr 0.3750 0.3750 0.3750
Cr 0.6250 0.6250 0.6250
Bi 0.1250 0.1250 0.1250
Bi 0.8750 0.8750 0.8750
Se 0.0205 0.6314 0.5250
Se 0.3231 0.5250 0.6314
Se 0.3686 0.9795 0.6769
Se 0.4750 0.6769 0.9795
Se 0.5250 0.3231 0.0205
Se 0.6314 0.0205 0.3231
Se 0.6769 0.4750 0.3686
Se 0.9795 0.3686 0.4750